Density functional theory data (GGA-PBE) for an optimized crystal structure of CeNdScAl.

* raw total energy: -83.87 eV/cell
* mass density: 5.6 g cm⁻³

Lattice parameters (Å, degrees): 7.5167 7.5167 7.5167 90.00 90.00 90.00
Space group F-43m (No. 216)
Symmetry-distinct sites (fractional):
Ce1 0.0000 0.0000 0.0000 x4
Nd1 0.0000 0.0000 0.5000 x4
Sc1 0.2500 0.2500 0.2500 x4
Al1 0.2500 0.2500 0.7500 x4

Density functional theory data (GGA-PBE) for an optimized crystal structure of CeNdAlSn.

* raw total energy: -80.20 eV/cell
* mass density: 6.5 g cm⁻³

Lattice parameters (Å, degrees): 7.6030 7.6030 7.6030 90.00 90.00 90.00
Space group F-43m (No. 216)
Symmetry-distinct sites (fractional):
Ce1 0.0000 0.0000 0.0000 x4
Nd1 0.0000 0.0000 0.5000 x4
Al1 0.2500 0.2500 0.7500 x4
Sn1 0.2500 0.2500 0.2500 x4

Density functional theory data (GGA-PBE) for an optimized crystal structure of TbCeNdAl.

* raw total energy: -76.48 eV/cell
* mass density: 7.0 g cm⁻³

Lattice parameters (Å, degrees): 7.6480 7.6480 7.6480 90.00 90.00 90.00
Space group F-43m (No. 216)
Symmetry-distinct sites (fractional):
Tb1 0.0000 0.0000 0.0000 x4
Ce1 0.2500 0.2500 0.2500 x4
Nd1 0.2500 0.2500 0.7500 x4
Al1 0.0000 0.0000 0.5000 x4

Density functional theory data (GGA-PBE) for an optimized crystal structure of CeNdThAl.

* raw total energy: -87.04 eV/cell
* mass density: 8.1 g cm⁻³

Lattice parameters (Å, degrees): 7.6309 7.6309 7.6309 90.00 90.00 90.00
Space group F-43m (No. 216)
Symmetry-distinct sites (fractional):
Ce1 0.0000 0.0000 0.0000 x4
Nd1 0.2500 0.2500 0.2500 x4
Th1 0.2500 0.2500 0.7500 x4
Al1 0.0000 0.0000 0.5000 x4

Density functional theory data (GGA-PBE) for an optimized crystal structure of CeNdAlTl.

* raw total energy: -71.39 eV/cell
* mass density: 7.7 g cm⁻³

Lattice parameters (Å, degrees): 7.6359 7.6359 7.6359 90.00 90.00 90.00
Space group F-43m (No. 216)
Symmetry-distinct sites (fractional):
Ce1 0.0000 0.0000 0.0000 x4
Nd1 0.0000 0.0000 0.5000 x4
Al1 0.2500 0.2500 0.7500 x4
Tl1 0.2500 0.2500 0.2500 x4

Density functional theory data (GGA-PBE) for an optimized crystal structure of CeNdTmAl.

* raw total energy: -76.09 eV/cell
* mass density: 7.2 g cm⁻³

Lattice parameters (Å, degrees): 7.6161 7.6161 7.6161 90.00 90.00 90.00
Space group F-43m (No. 216)
Symmetry-distinct sites (fractional):
Ce1 0.0000 0.0000 0.0000 x4
Nd1 0.0000 0.0000 0.5000 x4
Tm1 0.2500 0.2500 0.7500 x4
Al1 0.2500 0.2500 0.2500 x4

Density functional theory data (GGA-PBE) for an optimized crystal structure of Ce2NdAl2Zn2.

* raw total energy: -87.22 eV/cell
* mass density: 6.5 g cm⁻³

Lattice parameters (Å, degrees): 4.3955 4.3955 27.8790 90.00 90.00 120.00
Space group R-3m (No. 166, hexagonal axes)
Symmetry-distinct sites (fractional):
Ce1 0.0000 0.0000 0.1427 x6
Nd1 0.0000 0.0000 0.0000 x3
Al1 0.0000 0.0000 0.2603 x6
Zn1 0.0000 0.0000 0.4060 x6

Density functional theory data (GGA-PBE) for an optimized crystal structure of CeNdAlZn.

* raw total energy: -67.09 eV/cell
* mass density: 6.3 g cm⁻³

Lattice parameters (Å, degrees): 7.3670 7.3670 7.3670 90.00 90.00 90.00
Space group F-43m (No. 216)
Symmetry-distinct sites (fractional):
Ce1 0.0000 0.0000 0.0000 x4
Nd1 0.0000 0.0000 0.5000 x4
Al1 0.2500 0.2500 0.2500 x4
Zn1 0.2500 0.2500 0.7500 x4